P:
Compound: Os5Rh
Source: Alexandria
Functional: PBE
Structure: optimized geometry

Space group: Cmmm
DOS(E_F) (states/eV/f.u.): 5.74
Total moment (μB/f.u.): 0.000

Unit cell a=6.069 b=6.069 c=3.867 alpha=90.00 beta=90.00 gamma=142.89
Positions (direct):
Os1 0.000 0.000 0.000
Os2 0.169 0.831 0.500
Os3 0.333 0.667 0.000
Os4 0.667 0.333 0.000
Os5 0.831 0.169 0.500
Rh1 0.500 0.500 0.500


Q:
Compound: Os5Rh
Source: Alexandria
Functional: PBE
Structure: optimized geometry

Space group: P-62m
DOS(E_F) (states/eV/f.u.): 2.71
Total moment (μB/f.u.): 0.000

Unit cell a=4.764 b=4.764 c=4.351 alpha=90.00 beta=90.00 gamma=120.00
Positions (direct):
Os1 0.000 0.665 0.000
Os2 0.333 0.667 0.500
Os3 0.335 0.335 0.000
Os4 0.665 0.000 0.000
Os5 0.667 0.333 0.500
Rh1 0.000 0.000 0.500


Computed stability ranking, most favorable first: Q, P


P:
Compound: Os4Rh5
Source: Alexandria
Functional: PBE
Structure: optimized geometry

Space group: P6_3/mcm
DOS(E_F) (states/eV/f.u.): 15.37
Total moment (μB/f.u.): 0.001

Unit cell a=7.511 b=7.511 c=5.379 alpha=90.00 beta=90.00 gamma=120.00
Positions (direct):
Os1 0.000 0.000 0.000
Os2 0.000 0.000 0.500
Os3 0.000 0.332 0.250
Os4 0.000 0.668 0.750
Os5 0.332 0.000 0.250
Os6 0.332 0.332 0.750
Os7 0.668 0.000 0.750
Os8 0.668 0.668 0.250
Rh1 0.000 0.332 0.750
Rh2 0.000 0.668 0.250
Rh3 0.332 0.000 0.750
Rh4 0.332 0.332 0.250
Rh5 0.333 0.667 0.000
Rh6 0.333 0.667 0.500
Rh7 0.667 0.333 0.000
Rh8 0.667 0.333 0.500
Rh9 0.668 0.000 0.250
Rh10 0.668 0.668 0.750


Q:
Compound: Os4Rh5
Source: Alexandria
Functional: PBE
Structure: optimized geometry

Space group: I4/mmm
DOS(E_F) (states/eV/f.u.): 8.15
Total moment (μB/f.u.): 0.000

Unit cell a=6.093 b=6.093 c=6.093 alpha=95.69 beta=95.69 gamma=143.29
Positions (direct):
Os1 0.000 0.341 0.341
Os2 0.000 0.659 0.659
Os3 0.341 0.000 0.341
Os4 0.659 0.000 0.659
Rh1 0.000 0.000 0.000
Rh2 0.332 0.332 0.663
Rh3 0.332 0.668 0.000
Rh4 0.668 0.332 0.000
Rh5 0.668 0.668 0.337


Computed stability ranking, most favorable first: Q, P